Entry 1:
First-principles (PBE) data for a relaxed structure of NdTm4Sc15, as listed in the Alexandria database.

```
NdTm4Sc15
1.0
4.7027 0.0000 0.0000
0.0000 4.7027 0.0000
0.0000 0.0000 23.5349
Sc Tm Nd
15 4 1
Direct
0.0000 0.5000 0.5000 Sc
0.5000 0.5000 0.2023 Sc
0.5000 0.0000 0.3012 Sc
0.5000 0.5000 0.4006 Sc
0.5000 0.5000 0.5994 Sc
0.0000 0.5000 0.3012 Sc
0.5000 0.5000 0.7977 Sc
0.0000 0.5000 0.1022 Sc
0.5000 0.5000 0.0000 Sc
0.5000 0.0000 0.1022 Sc
0.5000 0.0000 0.8978 Sc
0.0000 0.5000 0.6988 Sc
0.5000 0.0000 0.5000 Sc
0.5000 0.0000 0.6988 Sc
0.0000 0.5000 0.8978 Sc
0.0000 0.0000 0.5993 Tm
0.0000 0.0000 0.2016 Tm
0.0000 0.0000 0.4007 Tm
0.0000 0.0000 0.7984 Tm
0.0000 0.0000 0.0000 Nd
```

Computed properties:
Formation enthalpy at 0 K (kJ/mol of atoms): 6
VASP energy (eV per atom): -5.8229
DOS(E_F) (states/eV/f.u.): 38.61
Crystal system: tetragonal
Total magnetic moment (μB per cell): 0.00


Entry 2:
First-principles (PBE) data for a relaxed structure of Nd5Tm5Sc2, as listed in the Alexandria database.

```
Nd5Tm5Sc2
1.0
-3.6746 3.0075 -1.5672
-8.5700 -6.1070 0.3971
-1.8095 5.0110 5.8818
Nd Tm Sc
5 5 2
Direct
0.6639 0.2566 0.4156 Nd
0.0000 0.0000 0.0000 Nd
0.9920 0.2576 0.7584 Nd
0.3361 0.7435 0.5844 Nd
0.0080 0.7424 0.2416 Nd
0.0000 0.5000 0.5000 Tm
0.6677 0.9993 0.6653 Tm
0.6719 0.7406 0.9156 Tm
0.3281 0.2594 0.0844 Tm
0.3323 0.0007 0.3347 Tm
0.3302 0.5012 0.8385 Sc
0.6698 0.4988 0.1615 Sc
```

Computed properties:
Formation enthalpy at 0 K (kJ/mol of atoms): 4
VASP energy (eV per atom): -4.8663
DOS(E_F) (states/eV/f.u.): 17.87
Crystal system: monoclinic
Total magnetic moment (μB per cell): 0.00


Entry 3:
First-principles (PBE) data for a relaxed structure of Nd15TmSc4, as listed in the Alexandria database.

```
Nd15TmSc4
1.0
-1.4199 4.5593 -1.7132
-2.6100 0.7943 4.2773
20.4904 10.3570 10.5802
Nd Sc Tm
15 4 1
Direct
0.5000 0.0000 0.1024 Nd
0.0000 0.5000 0.3011 Nd
0.5000 0.5000 0.5995 Nd
0.0000 0.5000 0.8976 Nd
0.0000 0.5000 0.5000 Nd
0.5000 0.5000 0.0000 Nd
0.5000 0.0000 0.6989 Nd
0.5000 0.5000 0.2017 Nd
0.0000 0.5000 0.1024 Nd
0.5000 0.0000 0.5000 Nd
0.5000 0.5000 0.4005 Nd
0.5000 0.5000 0.7983 Nd
0.5000 0.0000 0.8976 Nd
0.5000 0.0000 0.3011 Nd
0.0000 0.5000 0.6989 Nd
0.0000 0.0000 0.7983 Sc
0.0000 0.0000 0.5995 Sc
0.0000 0.0000 0.2017 Sc
0.0000 0.0000 0.4005 Sc
0.0000 0.0000 0.0000 Tm
```

Computed properties:
Formation enthalpy at 0 K (kJ/mol of atoms): 3
VASP energy (eV per atom): -5.0371
DOS(E_F) (states/eV/f.u.): 23.29
Crystal system: tetragonal
Total magnetic moment (μB per cell): 0.00


Entry 4:
First-principles (PBE) data for a relaxed structure of Nd2Tm12Sc, as listed in the Alexandria database.

```
Nd2Tm12Sc
1.0
6.2866 -1.3698 -0.6004
-1.3698 6.2866 -0.6004
-1.6703 -1.6703 25.0515
Sc Nd Tm
2 4 24
Direct
0.0000 0.5000 0.0000 Sc
0.5000 0.0000 0.0000 Sc
0.0805 0.5805 0.7220 Nd
0.5805 0.0805 0.7220 Nd
0.9195 0.4195 0.2780 Nd
0.4195 0.9195 0.2780 Nd
0.1748 0.1748 0.0608 Tm
0.6755 0.6755 0.5542 Tm
0.7256 0.2256 0.8735 Tm
0.1549 0.1549 0.8020 Tm
0.6549 0.6549 0.8020 Tm
0.9699 0.9699 0.3326 Tm
0.8245 0.8245 0.4458 Tm
0.8451 0.8451 0.1980 Tm
0.7744 0.2744 0.1265 Tm
0.3096 0.8096 0.4299 Tm
0.1904 0.6904 0.5701 Tm
0.5301 0.5301 0.6674 Tm
0.3451 0.3451 0.1980 Tm
0.2256 0.7256 0.8735 Tm
0.6748 0.6748 0.0608 Tm
0.4699 0.4699 0.3326 Tm
0.3252 0.3252 0.9392 Tm
0.1755 0.1755 0.5542 Tm
0.6904 0.1904 0.5701 Tm
0.3245 0.3245 0.4458 Tm
0.0301 0.0301 0.6674 Tm
0.2744 0.7744 0.1265 Tm
0.8252 0.8252 0.9392 Tm
0.8096 0.3096 0.4299 Tm
```

Computed properties:
Formation enthalpy at 0 K (kJ/mol of atoms): 12
VASP energy (eV per atom): -4.5072
DOS(E_F) (states/eV/f.u.): 23.44
Crystal system: monoclinic
Total magnetic moment (μB per cell): 0.00


Entry 5:
First-principles (PBE) data for a relaxed structure of Nd7Tm2Sc2, as listed in the Alexandria database.

```
Nd7Tm2Sc2
1.0
6.4538 -0.0021 -1.6376
0.0046 10.0484 0.0043
-2.0365 -0.0020 6.3393
Nd Sc Tm
7 2 2
Direct
0.9998 0.3165 0.5003 Nd
0.4997 0.3165 0.0002 Nd
0.4998 0.2074 0.5002 Nd
0.5003 0.6835 0.9998 Nd
0.0002 0.6835 0.4997 Nd
0.5002 0.7926 0.4998 Nd
0.0000 0.0000 0.0000 Nd
0.2529 0.5000 0.2529 Sc
0.7471 0.5000 0.7471 Sc
0.2852 0.0000 0.7148 Tm
0.7148 0.0000 0.2852 Tm
```

Computed properties:
E above lowest polymorph (eV/atom): 0.203
Formation enthalpy at 0 K (kJ/mol of atoms): 34
VASP energy (eV per atom): -4.6486
DOS(E_F) (states/eV/f.u.): 17.87
Crystal system: orthorhombic
Total magnetic moment (μB per cell): 0.00


Entry 6:
First-principles (PBE) data for a relaxed structure of Nd6Y3Tm2Sc, as listed in the Alexandria database.

```
Nd6Y3Tm2Sc
1.0
-3.6866 -1.4117 -4.8276
6.1945 0.0472 -0.7184
-0.4081 -10.7103 4.7839
Nd Sc Y Tm
6 1 3 2
Direct
0.5877 0.9185 0.7549 Nd
0.9185 0.5877 0.7549 Nd
0.4123 0.0815 0.2451 Nd
0.2495 0.2495 0.7547 Nd
0.7505 0.7505 0.2453 Nd
0.0815 0.4123 0.2451 Nd
0.0000 0.0000 0.0000 Sc
0.5000 0.5000 0.5000 Y
0.8333 0.1667 0.5000 Y
0.1667 0.8333 0.5000 Y
0.3334 0.6666 0.0000 Tm
0.6666 0.3334 0.0000 Tm
```

Computed properties:
Formation enthalpy at 0 K (kJ/mol of atoms): 2
VASP energy (eV per atom): -5.2488
DOS(E_F) (states/eV/f.u.): 13.34
Crystal system: monoclinic
Total magnetic moment (μB per cell): 0.00


Entry 7:
First-principles (PBE) data for a relaxed structure of Nd2Y6TmSc3, as listed in the Alexandria database.

```
Nd2Y6TmSc3
1.0
-3.3536 1.6915 4.8018
2.8479 -5.3903 0.0190
9.3325 6.0903 3.0830
Y Sc Nd Tm
6 3 2 1
Direct
0.5805 0.9130 0.7391 Y
0.2455 0.2455 0.7393 Y
0.7545 0.7545 0.2607 Y
0.0870 0.4195 0.2609 Y
0.4195 0.0870 0.2609 Y
0.9130 0.5805 0.7391 Y
0.5000 0.5000 0.5000 Sc
0.1661 0.8339 0.5000 Sc
0.8339 0.1661 0.5000 Sc
0.3332 0.6668 0.0000 Nd
0.6668 0.3332 0.0000 Nd
0.0000 0.0000 0.0000 Tm
```

Computed properties:
Formation enthalpy at 0 K (kJ/mol of atoms): 5
VASP energy (eV per atom): -5.9305
DOS(E_F) (states/eV/f.u.): 18.85
Crystal system: monoclinic
Total magnetic moment (μB per cell): 0.00


Entry 8:
First-principles (PBE) data for a relaxed structure of Nd2Y3Tm6Sc, as listed in the Alexandria database.

```
Nd2Y3Tm6Sc
1.0
6.0944 0.0008 0.0028
-3.0450 5.2791 0.0028
-1.0183 -1.7632 11.5062
Y Nd Sc Tm
3 2 1 6
Direct
0.5000 0.5000 0.5000 Y
0.1663 0.8337 0.5000 Y
0.8337 0.1663 0.5000 Y
0.3336 0.6664 0.0000 Nd
0.6664 0.3336 0.0000 Nd
0.0000 0.0000 0.0000 Sc
0.7527 0.7527 0.2496 Tm
0.5866 0.9170 0.7508 Tm
0.9170 0.5866 0.7508 Tm
0.2473 0.2473 0.7504 Tm
0.0830 0.4134 0.2492 Tm
0.4134 0.0830 0.2492 Tm
```

Computed properties:
Formation enthalpy at 0 K (kJ/mol of atoms): 3
VASP energy (eV per atom): -5.1412
DOS(E_F) (states/eV/f.u.): 16.82
Crystal system: monoclinic
Total magnetic moment (μB per cell): 0.00


Entry 9:
First-principles (PBE) data for a relaxed structure of Nd2YTm4Sc, as listed in the Alexandria database.

```
Nd2YTm4Sc
1.0
4.9998 0.0000 0.0000
0.0000 4.9031 0.9778
0.0000 2.9711 10.6581
Tm Sc Nd Y
4 1 2 1
Direct
0.5000 0.2558 0.7446 Tm
0.5000 0.7442 0.2554 Tm
0.0000 0.7558 0.7445 Tm
0.0000 0.2442 0.2555 Tm
0.0000 0.5000 0.5000 Sc
0.0000 0.0000 0.0000 Nd
0.5000 0.0000 0.5000 Nd
0.5000 0.5000 0.0000 Y
```

Computed properties:
Formation enthalpy at 0 K (kJ/mol of atoms): 4
VASP energy (eV per atom): -4.9876
DOS(E_F) (states/eV/f.u.): 12.22
Crystal system: tetragonal
Total magnetic moment (μB per cell): 0.00


Entry 10:
First-principles (PBE) data for a relaxed structure of NdY2TmSc, as listed in the Alexandria database.

```
NdY2TmSc
1.0
-2.4485 4.9938 -4.4630
-7.4075 -3.5284 0.1160
2.2491 4.9619 4.3181
Y Tm Nd Sc
4 2 2 2
Direct
0.0000 0.3019 0.0000 Y
0.0000 0.6981 0.0000 Y
0.5000 0.6981 0.0000 Y
0.5000 0.3019 0.0000 Y
0.2500 0.2669 0.5338 Tm
0.7500 0.7331 0.4662 Tm
0.2500 0.7322 0.4644 Nd
0.7500 0.2678 0.5356 Nd
0.2500 0.9954 0.9908 Sc
0.7500 0.0046 0.0092 Sc
```

Computed properties:
Formation enthalpy at 0 K (kJ/mol of atoms): 33
VASP energy (eV per atom): -5.3616
DOS(E_F) (states/eV/f.u.): 6.43
Crystal system: orthorhombic
Total magnetic moment (μB per cell): 0.00


Entry 11:
First-principles (PBE) data for a relaxed structure of Nd2Y6TmSc, as listed in the Alexandria database.

```
Nd2Y6TmSc
1.0
9.1988 -2.1267 -2.2071
0.6718 8.4443 -1.9182
0.6718 -2.2299 8.3674
Y Nd Sc Tm
12 4 2 2
Direct
0.3094 0.9906 0.4266 Y
0.8094 0.4266 0.9906 Y
0.0573 0.1246 0.7456 Y
0.4427 0.2544 0.8754 Y
0.1154 0.7028 0.4972 Y
0.8846 0.2972 0.5028 Y
0.5573 0.7456 0.1246 Y
0.6154 0.4972 0.7028 Y
0.6906 0.0094 0.5734 Y
0.1906 0.5734 0.0094 Y
0.9427 0.8754 0.2544 Y
0.3846 0.5028 0.2972 Y
0.0472 0.2938 0.1964 Nd
0.5472 0.1964 0.2938 Nd
0.4528 0.8036 0.7062 Nd
0.9528 0.7062 0.8036 Nd
0.7500 0.5914 0.4086 Sc
0.2500 0.4086 0.5914 Sc
0.7500 0.0169 0.9831 Tm
0.2500 0.9831 0.0169 Tm
```

Computed properties:
Formation enthalpy at 0 K (kJ/mol of atoms): 11
VASP energy (eV per atom): -5.7934
DOS(E_F) (states/eV/f.u.): 13.85
Crystal system: monoclinic
Total magnetic moment (μB per cell): 0.00


Entry 12:
First-principles (PBE) data for a relaxed structure of NdY2Tm2Sc, as listed in the Alexandria database.

```
NdY2Tm2Sc
1.0
-1.4059 0.0004 -3.0407
5.8766 -0.1631 -2.7171
-0.4000 -17.4597 0.1828
Nd Y Tm Sc
2 4 4 2
Direct
0.0000 0.0000 0.5000 Nd
0.5000 0.5000 0.0000 Nd
0.0000 0.7554 0.1845 Y
0.5000 0.2554 0.3155 Y
0.5000 0.7446 0.6845 Y
0.0000 0.2446 0.8155 Y
0.0000 0.7459 0.8546 Tm
0.5000 0.2459 0.6454 Tm
0.0000 0.2541 0.1454 Tm
0.5000 0.7541 0.3546 Tm
0.0000 0.0000 0.0000 Sc
0.5000 0.5000 0.5000 Sc
```

Computed properties:
Formation enthalpy at 0 K (kJ/mol of atoms): 27
VASP energy (eV per atom): -5.2178
DOS(E_F) (states/eV/f.u.): 9.06
Crystal system: orthorhombic
Total magnetic moment (μB per cell): 0.00


Entry 13:
First-principles (PBE) data for a relaxed structure of NdY2Tm4Sc, as listed in the Alexandria database.

```
NdY2Tm4Sc
1.0
-6.0728 -5.5021 -4.5078
0.1799 -6.2765 6.9315
0.0009 11.5630 0.7823
Tm Sc Y Nd
8 2 4 2
Direct
0.2495 0.2515 0.0149 Tm
0.7515 0.7495 0.5149 Tm
0.2375 0.7602 0.9990 Tm
0.7398 0.2625 0.5010 Tm
0.7625 0.2398 0.0010 Tm
0.2485 0.2505 0.4851 Tm
0.2602 0.7375 0.4990 Tm
0.7505 0.7485 0.9851 Tm
0.5000 0.5000 0.5000 Sc
0.0000 0.0000 0.0000 Sc
0.0000 0.0000 0.5000 Y
0.5000 0.0000 0.5000 Y
0.5000 0.0000 0.0000 Y
0.5000 0.5000 0.0000 Y
0.0000 0.5000 0.5000 Nd
0.0000 0.5000 0.0000 Nd
```

Computed properties:
Formation enthalpy at 0 K (kJ/mol of atoms): 43
VASP energy (eV per atom): -4.7949
DOS(E_F) (states/eV/f.u.): 17.79
Crystal system: orthorhombic
Total magnetic moment (μB per cell): 5.03


Entry 14:
First-principles (PBE) data for a relaxed structure of Nd2YTm5Sc, as listed in the Alexandria database.

```
Nd2YTm5Sc
1.0
8.4773 0.0000 0.0000
0.0000 8.4773 0.0000
-4.2386 -4.2386 7.7521
Tm Nd Y Sc
10 4 2 2
Direct
0.0671 0.5671 0.7147 Tm
0.9329 0.4329 0.2853 Tm
0.1477 0.0671 0.7147 Tm
0.8523 0.9329 0.2853 Tm
0.0000 0.0000 0.0000 Tm
0.6477 0.1477 0.7147 Tm
0.3523 0.8523 0.2853 Tm
0.5671 0.6477 0.7147 Tm
0.5000 0.5000 0.0000 Tm
0.4329 0.3523 0.2853 Tm
0.1196 0.3804 0.0000 Nd
0.8804 0.6196 0.0000 Nd
0.6196 0.1196 0.0000 Nd
0.3804 0.8804 0.0000 Nd
0.2500 0.2500 0.5000 Y
0.7500 0.7500 0.5000 Y
0.2500 0.7500 0.5000 Sc
0.7500 0.2500 0.5000 Sc
```

Computed properties:
Formation enthalpy at 0 K (kJ/mol of atoms): 26
VASP energy (eV per atom): -4.6929
DOS(E_F) (states/eV/f.u.): 11.56
Crystal system: tetragonal
Total magnetic moment (μB per cell): 0.00


Entry 15:
First-principles (PBE) data for a relaxed structure of Nd6Y2Tm3Sc, as listed in the Alexandria database.

```
Nd6Y2Tm3Sc
1.0
-3.0491 -4.8550 2.4199
0.9102 0.3517 -6.1459
10.6770 -4.1862 2.3906
Nd Y Sc Tm
6 2 1 3
Direct
0.7527 0.7527 0.2498 Nd
0.0828 0.4126 0.2497 Nd
0.5874 0.9172 0.7503 Nd
0.2473 0.2473 0.7502 Nd
0.4126 0.0828 0.2497 Nd
0.9172 0.5874 0.7503 Nd
0.6667 0.3333 0.0000 Y
0.3333 0.6667 0.0000 Y
0.0000 0.0000 0.0000 Sc
0.5000 0.5000 0.5000 Tm
0.8334 0.1666 0.5000 Tm
0.1666 0.8334 0.5000 Tm
```

Computed properties:
Formation enthalpy at 0 K (kJ/mol of atoms): 2
VASP energy (eV per atom): -5.0828
DOS(E_F) (states/eV/f.u.): 13.01
Crystal system: monoclinic
Total magnetic moment (μB per cell): 0.00


Entry 16:
First-principles (PBE) data for a relaxed structure of NdY5Tm2Sc, as listed in the Alexandria database.

```
NdY5Tm2Sc
1.0
5.5669 0.0000 0.0000
-2.7835 10.4268 0.0000
0.0000 0.0000 9.8767
Sc Y Tm Nd
2 10 4 2
Direct
0.8114 0.6228 0.5272 Sc
0.1886 0.3772 0.0272 Sc
0.6940 0.3880 0.2092 Y
0.5189 0.0379 0.2334 Y
0.7505 0.5009 0.8713 Y
0.3060 0.6120 0.7092 Y
0.3692 0.7383 0.0253 Y
0.4811 0.9621 0.7334 Y
0.9809 0.9618 0.5077 Y
0.0191 0.0382 0.0077 Y
0.6308 0.2617 0.5253 Y
0.2495 0.4991 0.3713 Y
0.8755 0.7510 0.2156 Tm
0.1245 0.2490 0.7156 Tm
0.8952 0.7903 0.8134 Tm
0.1048 0.2097 0.3134 Tm
0.3939 0.7878 0.4208 Nd
0.6061 0.2122 0.9208 Nd
```

Computed properties:
Formation enthalpy at 0 K (kJ/mol of atoms): 16
VASP energy (eV per atom): -5.6537
DOS(E_F) (states/eV/f.u.): 15.35
Crystal system: orthorhombic
Total magnetic moment (μB per cell): 0.00


Entry 17:
First-principles (PBE) data for a relaxed structure of Nd2YTmSc4, as listed in the Alexandria database.

```
Nd2YTmSc4
1.0
-0.6478 -3.9797 2.9261
4.7327 -1.3368 -0.7703
7.3227 3.6218 6.5472
Sc Nd Y Tm
4 2 1 1
Direct
0.0000 0.7521 0.7482 Sc
0.5000 0.2523 0.7482 Sc
0.0000 0.2479 0.2518 Sc
0.5000 0.7477 0.2518 Sc
0.0000 0.0000 0.0000 Nd
0.5000 0.0000 0.5000 Nd
0.5000 0.5000 0.0000 Y
0.0000 0.5000 0.5000 Tm
```

Computed properties:
Formation enthalpy at 0 K (kJ/mol of atoms): 5
VASP energy (eV per atom): -5.6695
DOS(E_F) (states/eV/f.u.): 12.96
Crystal system: tetragonal
Total magnetic moment (μB per cell): 0.00


Entry 18:
First-principles (PBE) data for a relaxed structure of NdY6Tm2Sc, as listed in the Alexandria database.

```
NdY6Tm2Sc
1.0
-3.3462 6.7138 -4.5052
-7.1639 -5.1906 -2.1044
-0.2339 4.8393 7.6953
Tm Y Sc Nd
4 12 2 2
Direct
0.5581 0.2117 0.3214 Tm
0.9419 0.6786 0.7883 Tm
0.4419 0.7883 0.6786 Tm
0.0581 0.3214 0.2117 Tm
0.9481 0.8690 0.2091 Y
0.7056 0.9548 0.5408 Y
0.5918 0.4755 0.7327 Y
0.4481 0.2091 0.8690 Y
0.4082 0.5245 0.2673 Y
0.0519 0.1310 0.7909 Y
0.2944 0.0452 0.4592 Y
0.5519 0.7909 0.1310 Y
0.2056 0.5408 0.9548 Y
0.7944 0.4592 0.0452 Y
0.9082 0.2673 0.5245 Y
0.0918 0.7327 0.4755 Y
0.7500 0.5576 0.4424 Sc
0.2500 0.4424 0.5576 Sc
0.7500 0.0329 0.9671 Nd
0.2500 0.9671 0.0329 Nd
```

Computed properties:
Formation enthalpy at 0 K (kJ/mol of atoms): 12
VASP energy (eV per atom): -5.7607
DOS(E_F) (states/eV/f.u.): 14.55
Crystal system: monoclinic
Total magnetic moment (μB per cell): 0.00